# NdEuGdHo GGA-PBE optimized geometry
# - D(E_F) (states/eV per atom) = 1.80
# - E_form (meV/atom) = 133.5
# - crystal system = cubic
data_NdEuGdHo
_space_group_name_H-M_alt 'F -4 3 m'
_space_group_IT_number 216
_space_group_name_Hall 'F -4 2 3'
_cell_length_a 8.201
_cell_length_b 8.201
_cell_length_c 8.201
_cell_angle_alpha 90.00
_cell_angle_beta 90.00
_cell_angle_gamma 90.00
loop_
_atom_site_label
_atom_site_type_symbol
_atom_site_fract_x
_atom_site_fract_y
_atom_site_fract_z
Nd1 Nd 0.000 0.000 0.000
Eu1 Eu 0.250 0.250 0.750
Gd1 Gd 0.000 0.000 0.500
Ho1 Ho 0.250 0.250 0.250

---

# LaCo2 GGA-PBE optimized geometry
# - D(E_F) (states/eV per atom) = 1.35
# - E_form (meV/atom) = 88.5
# - crystal system = orthorhombic
data_LaCo2
_space_group_name_H-M_alt 'C m c m'
_space_group_IT_number 63
_space_group_name_Hall '-C 2c 2'
_cell_length_a 3.874
_cell_length_b 14.882
_cell_length_c 4.107
_cell_angle_alpha 90.00
_cell_angle_beta 90.00
_cell_angle_gamma 90.00
loop_
_atom_site_label
_atom_site_type_symbol
_atom_site_fract_x
_atom_site_fract_y
_atom_site_fract_z
La1 La 0.000 0.095 0.250
Co1 Co 0.000 0.250 0.750
Co2 Co 0.000 0.335 0.250

---

# Mn2AsBr GGA-PBE optimized geometry
# - D(E_F) (states/eV per atom) = 0.56
# - E_form (uncorrected) (eV per atom) = -0.01
# - ΔE to the lowest computed polymorph (kcal/mol of atoms) = 1.57
# - crystal system = monoclinic
data_Mn2AsBr
_space_group_name_H-M_alt 'P 1 2/m 1'
_space_group_IT_number 10
_cell_length_a 3.457
_cell_length_b 3.344
_cell_length_c 6.836
_cell_angle_alpha 90.00
_cell_angle_beta 90.07
_cell_angle_gamma 90.00
loop_
_space_group_symop_operation_xyz
'x,y,z'
'-x,-y,-z'
'-x,y,-z'
'x,-y,z'
loop_
_atom_site_label
_atom_site_type_symbol
_atom_site_fract_x
_atom_site_fract_y
_atom_site_fract_z
Mn1 Mn 0.000 0.000 0.188
As1 As 0.500 0.500 0.000
Br1 Br 0.000 0.500 0.500

---

Computed magnetization (μB per atom) in order:
3.827, 0.896, 1.953